# 1
# YBiTe3 | Alexandria | PBE | optimized geometry
# - Formation energy from raw total energies: -810 meV per atom
# - ΔE to the lowest computed polymorph: 4 meV/atom
data_YBiTe3
_space_group_name_H-M_alt 'R 3 m'
_space_group_IT_number 160
_space_group_name_Hall 'R 3 -2"'
_cell_length_a 4.4070
_cell_length_b 4.4070
_cell_length_c 31.9691
_cell_angle_alpha 90.00
_cell_angle_beta 90.00
_cell_angle_gamma 120.00
loop_
_atom_site_label
_atom_site_type_symbol
_atom_site_fract_x
_atom_site_fract_y
_atom_site_fract_z
Y1 Y 0.0000 0.0000 0.0000
Bi1 Bi 0.0000 0.0000 0.7955
Te1 Te 0.0000 0.0000 0.1820
Te2 Te 0.0000 0.0000 0.3940
Te3 Te 0.0000 0.0000 0.6161

***

# 2
# YBi3Te | Alexandria | PBE | optimized geometry
# - Formation energy from raw total energies: 417 meV per atom
# - ΔE to the lowest computed polymorph: 0 meV/atom
# - Density of states at the Fermi level: 7.6 states/eV/f.u.
data_YBi3Te
_space_group_name_H-M_alt 'P m -3 m'
_space_group_IT_number 221
_space_group_name_Hall '-P 4 2 3'
_cell_length_a 5.8805
_cell_length_b 5.8805
_cell_length_c 5.8805
_cell_angle_alpha 90.00
_cell_angle_beta 90.00
_cell_angle_gamma 90.00
loop_
_atom_site_label
_atom_site_type_symbol
_atom_site_fract_x
_atom_site_fract_y
_atom_site_fract_z
Y1 Y 0.0000 0.0000 0.0000
Bi1 Bi 0.0000 0.0000 0.5000
Te1 Te 0.5000 0.5000 0.5000

***

# 3
# Y5BiTe4 | Alexandria | PBE | optimized geometry
# - Formation energy from raw total energies: -1239 meV per atom
# - ΔE to the lowest computed polymorph: 0 meV/atom
# - Density of states at the Fermi level: 4.9 states/eV/f.u.
data_Y5BiTe4
_space_group_name_H-M_alt 'I m m m'
_space_group_IT_number 71
_space_group_name_Hall '-I 2 2'
_cell_length_a 4.3972
_cell_length_b 6.1940
_cell_length_c 21.9432
_cell_angle_alpha 90.00
_cell_angle_beta 90.00
_cell_angle_gamma 90.00
loop_
_atom_site_label
_atom_site_type_symbol
_atom_site_fract_x
_atom_site_fract_y
_atom_site_fract_z
Y1 Y 0.0000 0.0000 0.0000
Y2 Y 0.0000 0.0000 0.1999
Y3 Y 0.0000 0.0000 0.3990
Bi1 Bi 0.0000 0.5000 0.0000
Te1 Te 0.0000 0.5000 0.2008
Te2 Te 0.0000 0.5000 0.3997

***

# 4
# Y5BiTe4 | Alexandria | PBE | optimized geometry
# - Formation energy from raw total energies: -1236 meV per atom
# - ΔE to the lowest computed polymorph: 2 meV/atom
# - Density of states at the Fermi level: 4.9 states/eV/f.u.
data_Y5BiTe4
_space_group_name_H-M_alt 'I 4/m m m'
_space_group_IT_number 139
_space_group_name_Hall '-I 4 2'
_cell_length_a 4.3920
_cell_length_b 4.3920
_cell_length_c 30.9902
_cell_angle_alpha 90.00
_cell_angle_beta 90.00
_cell_angle_gamma 90.00
loop_
_atom_site_label
_atom_site_type_symbol
_atom_site_fract_x
_atom_site_fract_y
_atom_site_fract_z
Y1 Y 0.0000 0.0000 0.0000
Y2 Y 0.0000 0.0000 0.2008
Y3 Y 0.0000 0.0000 0.3994
Bi1 Bi 0.0000 0.0000 0.5000
Te1 Te 0.0000 0.0000 0.1006
Te2 Te 0.0000 0.0000 0.3000

***

# 5
# Y2BiTe4 | Alexandria | PBE | optimized geometry
# - Formation energy from raw total energies: -968 meV per atom
# - Density of states at the Fermi level: 2.4 states/eV/f.u.
data_Y2BiTe4
_space_group_name_H-M_alt 'C 1 2/m 1'
_space_group_IT_number 12
_cell_length_a 16.8938
_cell_length_b 4.2892
_cell_length_c 7.6840
_cell_angle_alpha 90.00
_cell_angle_beta 116.05
_cell_angle_gamma 90.00
loop_
_space_group_symop_operation_xyz
'x,y,z'
'-x,-y,-z'
'-x,y,-z'
'x,-y,z'
'x+1/2,y+1/2,z'
'-x+1/2,-y+1/2,-z'
'-x+1/2,y+1/2,-z'
'x+1/2,-y+1/2,z'
loop_
_atom_site_label
_atom_site_type_symbol
_atom_site_fract_x
_atom_site_fract_y
_atom_site_fract_z
Y1 Y 0.2420 0.0000 0.2214
Bi1 Bi 0.0000 0.5000 0.5000
Te1 Te 0.1238 0.5000 0.9536
Te2 Te 0.1399 0.0000 0.4746

***

# 6
# Y2Bi2Te | Alexandria | PBE | optimized geometry
# - Formation energy from raw total energies: -542 meV per atom
# - ΔE to the lowest computed polymorph: 240 meV/atom
# - Density of states at the Fermi level: 1.8 states/eV/f.u.
data_Y2Bi2Te
_space_group_name_H-M_alt 'P 4/m b m'
_space_group_IT_number 127
_space_group_name_Hall '-P 4 2ab'
_cell_length_a 8.7183
_cell_length_b 8.7183
_cell_length_c 4.0662
_cell_angle_alpha 90.00
_cell_angle_beta 90.00
_cell_angle_gamma 90.00
loop_
_atom_site_label
_atom_site_type_symbol
_atom_site_fract_x
_atom_site_fract_y
_atom_site_fract_z
Y1 Y 0.1612 0.3388 0.0000
Bi1 Bi 0.1407 0.6407 0.5000
Te1 Te 0.0000 0.0000 0.5000

***

# 7
# Y3BiTe2 | Alexandria | PBE | optimized geometry
# - Formation energy from raw total energies: -1192 meV per atom
# - Density of states at the Fermi level: 2.7 states/eV/f.u.
data_Y3BiTe2
_space_group_name_H-M_alt 'I m m m'
_space_group_IT_number 71
_space_group_name_Hall '-I 2 2'
_cell_length_a 4.4029
_cell_length_b 6.2279
_cell_length_c 13.2247
_cell_angle_alpha 90.00
_cell_angle_beta 90.00
_cell_angle_gamma 90.00
loop_
_atom_site_label
_atom_site_type_symbol
_atom_site_fract_x
_atom_site_fract_y
_atom_site_fract_z
Y1 Y 0.0000 0.0000 0.0000
Y2 Y 0.0000 0.0000 0.3330
Bi1 Bi 0.0000 0.5000 0.0000
Te1 Te 0.0000 0.5000 0.3335

***

# 8
# Y4BiTe3 | Alexandria | PBE | optimized geometry
# - Formation energy from raw total energies: -1016 meV per atom
# - Density of states at the Fermi level: 5.5 states/eV/f.u.
data_Y4BiTe3
_space_group_name_H-M_alt 'P m m n'
_space_group_IT_number 59
_cell_length_a 6.1551
_cell_length_b 10.0189
_cell_length_c 9.0200
_cell_angle_alpha 90.00
_cell_angle_beta 90.00
_cell_angle_gamma 90.00
loop_
_space_group_symop_operation_xyz
'x,y,z'
'-x,-y,-z'
'-x+1/2,-y+1/2,z'
'x+1/2,y+1/2,-z'
'x+1/2,-y,-z'
'-x+1/2,y,z'
'-x,y+1/2,-z'
'x,-y+1/2,z'
loop_
_atom_site_label
_atom_site_type_symbol
_atom_site_fract_x
_atom_site_fract_y
_atom_site_fract_z
Y1 Y 0.2500 0.0512 0.1523
Y2 Y 0.2500 0.2500 0.7593
Y3 Y 0.2500 0.7500 0.5943
Bi1 Bi 0.2500 0.7500 0.2460
Te1 Te 0.2500 0.2500 0.4183
Te2 Te 0.2500 0.5471 0.8343

***

# 9
# Y8Bi3Te4 | Alexandria | PBE | optimized geometry
# - Formation energy from raw total energies: -1015 meV per atom
# - Density of states at the Fermi level: 8.6 states/eV/f.u.
data_Y8Bi3Te4
_space_group_name_H-M_alt 'C 1 2/m 1'
_space_group_IT_number 12
_cell_length_a 12.3509
_cell_length_b 12.3653
_cell_length_c 8.7147
_cell_angle_alpha 90.00
_cell_angle_beta 134.76
_cell_angle_gamma 90.00
loop_
_space_group_symop_operation_xyz
'x,y,z'
'-x,-y,-z'
'-x,y,-z'
'x,-y,z'
'x+1/2,y+1/2,z'
'-x+1/2,-y+1/2,-z'
'-x+1/2,y+1/2,-z'
'x+1/2,-y+1/2,z'
loop_
_atom_site_label
_atom_site_type_symbol
_atom_site_fract_x
_atom_site_fract_y
_atom_site_fract_z
Y1 Y 0.0000 0.2452 0.0000
Y2 Y 0.0000 0.2499 0.5000
Y3 Y 0.2431 0.0000 0.0013
Y4 Y 0.2482 0.0000 0.4947
Bi1 Bi 0.0000 0.0000 0.5000
Bi2 Bi 0.2500 0.2500 0.0000
Te1 Te 0.0000 0.5000 0.0000
Te2 Te 0.0000 0.5000 0.5000
Te3 Te 0.2500 0.2500 0.5000

***

# 10
# YbBi2Te4 | Alexandria | PBE | optimized geometry
# - Formation energy from raw total energies: -541 meV per atom
# - Density of states at the Fermi level: 27.6 states/eV/f.u.
data_YbBi2Te4
_space_group_name_H-M_alt 'I -4 2 d'
_space_group_IT_number 122
_space_group_name_Hall 'I -4 2bw'
_cell_length_a 9.9739
_cell_length_b 9.9739
_cell_length_c 9.9210
_cell_angle_alpha 90.00
_cell_angle_beta 90.00
_cell_angle_gamma 90.00
loop_
_atom_site_label
_atom_site_type_symbol
_atom_site_fract_x
_atom_site_fract_y
_atom_site_fract_z
Yb1 Yb 0.0000 0.0000 0.0000
Bi1 Bi 0.0011 0.7500 0.6250
Te1 Te 0.0009 0.6921 0.9372

***

# 11
# Zn2BiTe | Alexandria | PBE | optimized geometry
# - Formation energy from raw total energies: 234 meV per atom
# - ΔE to the lowest computed polymorph: 297 meV/atom
# - Density of states at the Fermi level: 2.1 states/eV/f.u.
data_Zn2BiTe
_space_group_name_H-M_alt 'F m -3 m'
_space_group_IT_number 225
_space_group_name_Hall '-F 4 2 3'
_cell_length_a 7.2419
_cell_length_b 7.2419
_cell_length_c 7.2419
_cell_angle_alpha 90.00
_cell_angle_beta 90.00
_cell_angle_gamma 90.00
loop_
_atom_site_label
_atom_site_type_symbol
_atom_site_fract_x
_atom_site_fract_y
_atom_site_fract_z
Zn1 Zn 0.2500 0.2500 0.2500
Bi1 Bi 0.0000 0.0000 0.0000
Te1 Te 0.0000 0.0000 0.5000

***

# 12
# Zn2BiTe | Alexandria | PBE | optimized geometry
# - Formation energy from raw total energies: -63 meV per atom
# - ΔE to the lowest computed polymorph: 0 meV/atom
# - Density of states at the Fermi level: 2.0 states/eV/f.u.
data_Zn2BiTe
_space_group_name_H-M_alt 'I -4 2 d'
_space_group_IT_number 122
_space_group_name_Hall 'I -4 2bw'
_cell_length_a 6.3630
_cell_length_b 6.3630
_cell_length_c 12.1449
_cell_angle_alpha 90.00
_cell_angle_beta 90.00
_cell_angle_gamma 90.00
loop_
_atom_site_label
_atom_site_type_symbol
_atom_site_fract_x
_atom_site_fract_y
_atom_site_fract_z
Zn1 Zn 0.2407 0.2500 0.1250
Bi1 Bi 0.0000 0.0000 0.5000
Te1 Te 0.0000 0.0000 0.0000

***

# 13
# Zn2BiTe2 | Alexandria | PBE | optimized geometry
# - Formation energy from raw total energies: 34 meV per atom
# - Density of states at the Fermi level: 3.5 states/eV/f.u.
data_Zn2BiTe2
_space_group_name_H-M_alt 'I 4/m m m'
_space_group_IT_number 139
_space_group_name_Hall '-I 4 2'
_cell_length_a 4.0427
_cell_length_b 4.0427
_cell_length_c 16.3032
_cell_angle_alpha 90.00
_cell_angle_beta 90.00
_cell_angle_gamma 90.00
loop_
_atom_site_label
_atom_site_type_symbol
_atom_site_fract_x
_atom_site_fract_y
_atom_site_fract_z
Zn1 Zn 0.0000 0.5000 0.2500
Bi1 Bi 0.0000 0.0000 0.0000
Te1 Te 0.0000 0.0000 0.3667

***

# 14
# ZnBi2Te2 | Alexandria | PBE | optimized geometry
# - Formation energy from raw total energies: 166 meV per atom
# - ΔE to the lowest computed polymorph: 92 meV/atom
# - Density of states at the Fermi level: 4.7 states/eV/f.u.
data_ZnBi2Te2
_space_group_name_H-M_alt 'P 4/m b m'
_space_group_IT_number 127
_space_group_name_Hall '-P 4 2ab'
_cell_length_a 8.4530
_cell_length_b 8.4530
_cell_length_c 4.3049
_cell_angle_alpha 90.00
_cell_angle_beta 90.00
_cell_angle_gamma 90.00
loop_
_atom_site_label
_atom_site_type_symbol
_atom_site_fract_x
_atom_site_fract_y
_atom_site_fract_z
Zn1 Zn 0.0000 0.0000 0.0000
Bi1 Bi 0.1429 0.3571 0.5000
Te1 Te 0.1659 0.6659 0.0000

***

# 15
# Zn2BiTe2 | Alexandria | PBE | optimized geometry
# - Formation energy from raw total energies: 71 meV per atom
# - Density of states at the Fermi level: 2.2 states/eV/f.u.
data_Zn2BiTe2
_space_group_name_H-M_alt 'I 4/m m m'
_space_group_IT_number 139
_space_group_name_Hall '-I 4 2'
_cell_length_a 5.5404
_cell_length_b 5.5404
_cell_length_c 8.5138
_cell_angle_alpha 90.00
_cell_angle_beta 90.00
_cell_angle_gamma 90.00
loop_
_atom_site_label
_atom_site_type_symbol
_atom_site_fract_x
_atom_site_fract_y
_atom_site_fract_z
Zn1 Zn 0.0000 0.0000 0.1434
Bi1 Bi 0.0000 0.0000 0.5000
Te1 Te 0.0000 0.5000 0.2500

***

# 16
# Zn2BiTe2 | Alexandria | PBE | optimized geometry
# - Formation energy from raw total energies: 109 meV per atom
# - Density of states at the Fermi level: 2.3 states/eV/f.u.
data_Zn2BiTe2
_space_group_name_H-M_alt 'P 4/m b m'
_space_group_IT_number 127
_space_group_name_Hall '-P 4 2ab'
_cell_length_a 8.2888
_cell_length_b 8.2888
_cell_length_c 3.8410
_cell_angle_alpha 90.00
_cell_angle_beta 90.00
_cell_angle_gamma 90.00
loop_
_atom_site_label
_atom_site_type_symbol
_atom_site_fract_x
_atom_site_fract_y
_atom_site_fract_z
Zn1 Zn 0.1450 0.3550 0.0000
Bi1 Bi 0.0000 0.0000 0.5000
Te1 Te 0.1596 0.6596 0.5000

***

# 17
# ZnBi2Te2 | Alexandria | PBE | optimized geometry
# - Formation energy from raw total energies: 75 meV per atom
# - ΔE to the lowest computed polymorph: 0 meV/atom
# - Density of states at the Fermi level: 2.3 states/eV/f.u.
data_ZnBi2Te2
_space_group_name_H-M_alt 'P 4/m b m'
_space_group_IT_number 127
_space_group_name_Hall '-P 4 2ab'
_cell_length_a 8.4708
_cell_length_b 8.4708
_cell_length_c 4.3969
_cell_angle_alpha 90.00
_cell_angle_beta 90.00
_cell_angle_gamma 90.00
loop_
_atom_site_label
_atom_site_type_symbol
_atom_site_fract_x
_atom_site_fract_y
_atom_site_fract_z
Zn1 Zn 0.0000 0.0000 0.0000
Bi1 Bi 0.1758 0.3242 0.0000
Te1 Te 0.1500 0.6500 0.5000

***

# 18
# Zr2BiTe | Alexandria | PBE | optimized geometry
# - Formation energy from raw total energies: -583 meV per atom
# - ΔE to the lowest computed polymorph: 0 meV/atom
# - Density of states at the Fermi level: 2.7 states/eV/f.u.
data_Zr2BiTe
_space_group_name_H-M_alt 'P 1 21/c 1'
_space_group_IT_number 14
_cell_length_a 7.8316
_cell_length_b 7.2920
_cell_length_c 7.2266
_cell_angle_alpha 90.00
_cell_angle_beta 90.04
_cell_angle_gamma 90.00
loop_
_space_group_symop_operation_xyz
'x,y,z'
'-x,-y,-z'
'-x,y+1/2,-z+1/2'
'x,-y+1/2,z+1/2'
loop_
_atom_site_label
_atom_site_type_symbol
_atom_site_fract_x
_atom_site_fract_y
_atom_site_fract_z
Zr1 Zr 0.1170 0.1876 0.4943
Zr2 Zr 0.3625 0.6891 0.0045
Bi1 Bi 0.3783 0.0791 0.2022
Te1 Te 0.1235 0.5731 0.2959

***

# 19
# Zr3BiTe | Alexandria | PBE | optimized geometry
# - Formation energy from raw total energies: -120 meV per atom
# - ΔE to the lowest computed polymorph: 432 meV/atom
# - Density of states at the Fermi level: 5.3 states/eV/f.u.
data_Zr3BiTe
_space_group_name_H-M_alt 'A m m 2'
_space_group_IT_number 38
_cell_length_a 4.0643
_cell_length_b 8.7752
_cell_length_c 15.0397
_cell_angle_alpha 90.00
_cell_angle_beta 90.00
_cell_angle_gamma 90.00
loop_
_space_group_symop_operation_xyz
'x,y,z'
'-x,-y,z'
'-x,y,z'
'x,-y,z'
'x,y+1/2,z+1/2'
'-x,-y+1/2,z+1/2'
'-x,y+1/2,z+1/2'
'x,-y+1/2,z+1/2'
loop_
_atom_site_label
_atom_site_type_symbol
_atom_site_fract_x
_atom_site_fract_y
_atom_site_fract_z
Zr1 Zr 0.0000 0.0000 0.0000
Zr2 Zr 0.0000 0.0000 0.2671
Zr3 Zr 0.5000 0.2061 0.5226
Zr4 Zr 0.5000 0.2058 0.7436
Bi1 Bi 0.0000 0.0000 0.6330
Bi2 Bi 0.5000 0.0000 0.1335
Te1 Te 0.0000 0.2493 0.8830

***

# 20
# ZrBiTe2 | Alexandria | PBE | optimized geometry
# - Formation energy from raw total energies: -474 meV per atom
# - Density of states at the Fermi level: 1.6 states/eV/f.u.
data_ZrBiTe2
_space_group_name_H-M_alt 'P 4/m m m'
_space_group_IT_number 123
_space_group_name_Hall '-P 4 2'
_cell_length_a 3.6704
_cell_length_b 3.6704
_cell_length_c 7.8149
_cell_angle_alpha 90.00
_cell_angle_beta 90.00
_cell_angle_gamma 90.00
loop_
_atom_site_label
_atom_site_type_symbol
_atom_site_fract_x
_atom_site_fract_y
_atom_site_fract_z
Zr1 Zr 0.0000 0.0000 0.0000
Bi1 Bi 0.0000 0.0000 0.5000
Te1 Te 0.5000 0.5000 0.2102